(1)
VASP calculation (GGA-PBE) on a relaxed Re4NiBr crystal.

Summary:
As for the density of states at the Fermi level: 8.90 states/eV per cell. The space group is F-43m. The value obtained for the electronic total energy is -8.30 eV per atom. The value obtained for the mass density is 14.55 g/cm³.

abc: 5.224 5.224 5.224
angles: 60.00 60.00 60.00
Sites, in units of the cell vectors:
Re1 0.876 0.375 0.375
Re2 0.375 0.375 0.876
Re3 0.375 0.876 0.375
Re4 0.375 0.375 0.375
Ni1 0.000 0.000 0.000
Br1 0.750 0.750 0.750

=====

(2)
VASP calculation (GGA-PBE) on a relaxed CaInFe2 crystal.

Summary:
The formation energy is 0.111 eV/atom. As for the density of states at the Fermi level: 2.68 states/eV per cell. The space group is Pmm2. The value obtained for the mass density is 5.82 g/cm³.

abc: 3.232 3.215 7.992
angles: 66.27 90.00 90.00
Sites, in units of the cell vectors:
Ca1 0.500 0.718 0.782
Fe1 0.000 0.930 0.070
Fe2 0.500 0.297 0.202
In1 0.000 0.554 0.446

=====

(3)
VASP calculation (GGA-PBE) on a relaxed SmHoErSc crystal.

Summary:
The formation energy is 0.116 eV/atom. As for the density of states at the Fermi level: 6.53 states/eV per cell. The space group is F-43m. The value obtained for the mass density is 7.29 g/cm³. The energy relative to the lowest polymorph listed for this composition is 18 meV per atom.

abc: 5.539 5.539 5.539
angles: 60.00 60.00 60.00
Sites, in units of the cell vectors:
Sc1 0.000 0.000 0.000
Ho1 0.250 0.250 0.250
Sm1 0.750 0.750 0.750
Er1 0.500 0.500 0.500

=====

(4)
VASP calculation (GGA-PBE) on a relaxed PrIn3Ga3 crystal.

Summary:
The formation energy is 0.220 eV/atom. As for the density of states at the Fermi level: 6.10 states/eV per cell. The space group is Pm-3n. The value obtained for the mass density is 5.55 g/cm³.

abc: 7.464 7.464 7.464
angles: 90.00 90.00 90.00
Sites, in units of the cell vectors:
Pr1 0.500 0.500 0.500
Pr2 0.000 0.000 0.000
Ga1 0.000 0.250 0.500
Ga2 0.000 0.750 0.500
Ga3 0.500 0.000 0.750
Ga4 0.750 0.500 0.000
Ga5 0.500 0.000 0.250
Ga6 0.250 0.500 0.000
In1 0.250 0.000 0.500
In2 0.000 0.500 0.250
In3 0.500 0.750 0.000
In4 0.750 0.000 0.500
In5 0.000 0.500 0.750
In6 0.500 0.250 0.000

=====

(5)
VASP calculation (GGA-PBE) on a relaxed TaHI2O crystal.

Summary:
As for the density of states at the Fermi level: 1.67 states/eV per cell. The space group is P4/mmm. The value obtained for the mass density is 6.01 g/cm³. The energy relative to the lowest polymorph listed for this composition is 0 meV per atom.

abc: 5.662 5.662 3.896
angles: 90.00 90.00 90.00
Sites, in units of the cell vectors:
I1 0.000 0.500 0.000
I2 0.500 0.000 0.000
H1 0.500 0.500 0.500
O1 0.000 0.000 0.500
Ta1 0.000 0.000 0.000

=====

(6)
VASP calculation (GGA-PBE) on a relaxed HoBe2Ru crystal.

Summary:
The formation energy is -0.243 eV/atom. As for the density of states at the Fermi level: 3.82 states/eV per cell. The space group is R-3m. The value obtained for the mass density is 7.62 g/cm³. The energy relative to the lowest polymorph listed for this composition is 0 meV per atom.

abc: 3.871 3.871 5.268
angles: 68.45 68.45 60.00
Sites, in units of the cell vectors:
Ru1 0.500 0.500 0.500
Ho1 0.000 0.000 0.000
Be1 0.805 0.805 0.586
Be2 0.195 0.195 0.414

=====

(7)
VASP calculation (GGA-PBE) on a relaxed PmYAsO2 crystal.

Summary:
As for the density of states at the Fermi level: 2.27 states/eV per cell. The space group is I4mm. The value obtained for the electronic total energy is -7.77 eV per atom. The value obtained for the mass density is 5.83 g/cm³.

abc: 3.855 3.855 7.075
angles: 105.81 105.81 90.00
Sites, in units of the cell vectors:
Pm1 0.158 0.158 0.316
Y1 0.839 0.839 0.678
As1 0.498 0.498 0.995
O1 0.753 0.253 0.506
O2 0.253 0.753 0.506

=====

(8)
VASP calculation (GGA-PBE) on a relaxed La6Te5Cl crystal.

Summary:
As for the density of states at the Fermi level: 8.78 states/eV per cell. The space group is C2/m. The value obtained for the electronic total energy is -5.50 eV per atom. The value obtained for the mass density is 6.36 g/cm³.

abc: 7.862 7.815 7.842
angles: 60.11 80.34 70.32
Sites, in units of the cell vectors:
Cl1 0.000 0.000 0.000
Te1 0.500 0.172 0.656
Te2 0.000 0.335 0.329
Te3 0.500 0.500 0.000
Te4 0.000 0.665 0.671
Te5 0.500 0.828 0.344
La1 0.757 0.080 0.328
La2 0.243 0.592 0.328
La3 0.251 0.243 0.000
La4 0.749 0.757 0.000
La5 0.757 0.408 0.672
La6 0.243 0.920 0.672

=====

(9)
VASP calculation (GGA-PBE) on a relaxed La2TbPrTm crystal.

Summary:
The formation energy is 0.327 eV/atom. As for the density of states at the Fermi level: 14.80 states/eV per cell. The space group is Cmcm. The value obtained for the mass density is 6.78 g/cm³.

abc: 6.886 11.154 7.334
angles: 139.51 90.00 90.00
Sites, in units of the cell vectors:
La1 0.500 0.249 0.000
La2 0.000 0.751 0.000
La3 0.500 0.751 0.000
La4 0.000 0.249 0.000
Tb1 0.250 0.910 0.820
Tb2 0.750 0.090 0.180
Pr1 0.250 0.601 0.203
Pr2 0.750 0.399 0.797
Tm1 0.750 0.752 0.503
Tm2 0.250 0.248 0.497

=====

(10)
VASP calculation (GGA-PBE) on a relaxed KSc2MnS4 crystal.

Summary:
As for the density of states at the Fermi level: 5.80 states/eV per cell. The space group is Cmcm. The value obtained for the electronic total energy is -6.41 eV per atom. The value obtained for the mass density is 3.10 g/cm³.

abc: 3.814 6.857 13.301
angles: 90.00 90.00 106.15
Sites, in units of the cell vectors:
K1 0.110 0.219 0.750
K2 0.890 0.781 0.250
Sc1 0.369 0.738 0.560
Sc2 0.631 0.262 0.060
Sc3 0.631 0.262 0.440
Sc4 0.369 0.738 0.940
Mn1 0.832 0.664 0.750
Mn2 0.168 0.336 0.250
S1 0.261 0.522 0.104
S2 0.739 0.478 0.604
S3 0.739 0.478 0.896
S4 0.261 0.522 0.396
S5 0.000 0.000 0.500
S6 0.000 0.000 0.000
S7 0.433 0.865 0.750
S8 0.567 0.135 0.250

=====

(11)
VASP calculation (GGA-PBE) on a relaxed RbGa3I4 crystal.

Summary:
As for the density of states at the Fermi level: 0.00 states/eV per cell. The space group is C2/m. The value obtained for the electronic total energy is -2.64 eV per atom. The value obtained for the mass density is 4.12 g/cm³.

abc: 4.849 8.404 8.404
angles: 70.58 90.07 90.07
Sites, in units of the cell vectors:
I1 0.000 0.770 0.730
I2 0.500 0.759 0.260
I3 0.000 0.230 0.270
I4 0.500 0.240 0.741
Ga1 0.500 0.000 0.500
Ga2 0.000 0.000 0.000
Ga3 0.000 0.500 0.500
Rb1 0.500 0.500 0.000

=====

(12)
VASP calculation (GGA-PBE) on a relaxed Sm2Ho3Sc4 crystal.

Summary:
The formation energy is 0.111 eV/atom. As for the density of states at the Fermi level: 28.18 states/eV per cell. The space group is C2/c. The value obtained for the mass density is 6.29 g/cm³.

abc: 5.840 10.852 10.852
angles: 61.73 63.10 63.10
Sites, in units of the cell vectors:
Sm1 0.441 0.231 0.513
Sm2 0.059 0.487 0.769
Sm3 0.559 0.769 0.487
Sm4 0.941 0.513 0.231
Ho1 0.793 0.062 0.261
Ho2 0.707 0.739 0.938
Ho3 0.207 0.938 0.739
Ho4 0.293 0.261 0.062
Ho5 0.250 0.608 0.392
Ho6 0.750 0.392 0.608
Sc1 0.436 0.910 0.177
Sc2 0.064 0.823 0.090
Sc3 0.564 0.090 0.823
Sc4 0.936 0.177 0.910
Sc5 0.104 0.135 0.415
Sc6 0.396 0.585 0.865
Sc7 0.896 0.865 0.585
Sc8 0.604 0.415 0.135

=====

(13)
VASP calculation (GGA-PBE) on a relaxed Tb2PuNpP4 crystal.

Summary:
The formation energy is -1.312 eV/atom. As for the density of states at the Fermi level: 17.95 states/eV per cell. The space group is P2/m. The value obtained for the mass density is 8.48 g/cm³.

abc: 4.002 6.942 6.902
angles: 109.52 90.00 90.00
Sites, in units of the cell vectors:
Tb1 0.500 0.000 0.500
Tb2 0.000 0.500 0.500
Pu1 0.000 0.000 0.000
Np1 0.500 0.500 0.000
P1 0.500 0.250 0.242
P2 0.500 0.750 0.758
P3 0.000 0.254 0.758
P4 0.000 0.746 0.242

=====

(14)
VASP calculation (GGA-PBE) on a relaxed La6Sb3As2Se crystal.

Summary:
As for the density of states at the Fermi level: 2.65 states/eV per cell. The space group is C2/m. The value obtained for the electronic total energy is -6.07 eV per atom. The value obtained for the mass density is 6.17 g/cm³.

abc: 4.487 8.997 10.044
angles: 103.06 102.91 90.00
Sites, in units of the cell vectors:
La1 0.334 0.907 0.668
La2 0.670 0.575 0.340
La3 0.666 0.093 0.332
La4 0.004 0.248 0.008
La5 0.996 0.752 0.992
La6 0.330 0.425 0.660
Sb1 0.500 0.500 0.000
Sb2 0.835 0.166 0.670
Sb3 0.165 0.834 0.330
As1 0.834 0.668 0.668
As2 0.166 0.332 0.332
Se1 0.500 0.000 0.000

=====

(15)
VASP calculation (GGA-PBE) on a relaxed LiPaTe2N crystal.

Summary:
As for the density of states at the Fermi level: 4.52 states/eV per cell. The space group is P4/nmm. The value obtained for the electronic total energy is -6.33 eV per atom. The value obtained for the mass density is 7.67 g/cm³.

abc: 3.948 3.948 14.086
angles: 90.00 90.00 90.00
Sites, in units of the cell vectors:
Li1 0.500 0.000 0.078
Li2 0.000 0.500 0.922
Pa1 0.500 0.000 0.584
Pa2 0.000 0.500 0.416
Te1 0.000 0.500 0.701
Te2 0.000 0.500 0.126
Te3 0.500 0.000 0.874
Te4 0.500 0.000 0.299
N1 0.000 0.000 0.500
N2 0.500 0.500 0.500

=====

(16)
VASP calculation (GGA-PBE) on a relaxed BaAsS3 crystal.

Summary:
As for the density of states at the Fermi level: 3.68 states/eV per cell. The space group is Pm-3m. The value obtained for the electronic total energy is -4.55 eV per atom. The value obtained for the mass density is 4.31 g/cm³.

abc: 4.917 4.917 4.917
angles: 90.00 90.00 90.00
Sites, in units of the cell vectors:
S1 0.000 0.500 0.000
S2 0.000 0.000 0.500
S3 0.500 0.000 0.000
As1 0.000 0.000 0.000
Ba1 0.500 0.500 0.500

=====

(17)
VASP calculation (GGA-PBE) on a relaxed LiRh3 crystal.

Summary:
The formation energy is -0.084 eV/atom. As for the density of states at the Fermi level: 4.74 states/eV per cell. The space group is Cmmm. The value obtained for the mass density is 9.57 g/cm³.

abc: 4.688 4.688 2.668
angles: 90.00 90.00 110.91
Sites, in units of the cell vectors:
Rh1 0.000 0.500 0.500
Rh2 0.500 0.000 0.500
Rh3 0.500 0.500 0.000
Li1 0.000 0.000 0.000

=====

(18)
VASP calculation (GGA-PBE) on a relaxed CsCo2RhCl8 crystal.

Summary:
As for the density of states at the Fermi level: 0.06 states/eV per cell. The space group is R-3. The value obtained for the electronic total energy is -3.92 eV per atom. The value obtained for the mass density is 3.14 g/cm³.

abc: 6.186 6.186 10.778
angles: 73.32 73.32 60.00
Sites, in units of the cell vectors:
Cs1 0.500 0.500 0.500
Co1 0.267 0.267 0.199
Co2 0.733 0.733 0.801
Rh1 0.000 0.000 0.000
Cl1 0.195 0.195 0.416
Cl2 0.645 0.269 0.138
Cl3 0.805 0.805 0.584
Cl4 0.948 0.645 0.138
Cl5 0.052 0.355 0.862
Cl6 0.269 0.948 0.138
Cl7 0.731 0.052 0.862
Cl8 0.355 0.731 0.862

=====

(19)
VASP calculation (GGA-PBE) on a relaxed Ba2SrLaCu crystal.

Summary:
The formation energy is 0.115 eV/atom. As for the density of states at the Fermi level: 6.31 states/eV per cell. The space group is P4/mmm. The value obtained for the mass density is 3.90 g/cm³.

abc: 6.499 6.499 5.690
angles: 90.00 90.00 90.00
Sites, in units of the cell vectors:
Sr1 0.500 0.500 0.500
Ba1 0.000 0.500 0.000
Ba2 0.500 0.000 0.000
Cu1 0.000 0.000 0.000
La1 0.000 0.000 0.500

=====

(20)
VASP calculation (GGA-PBE) on a relaxed Ba2Ag2Cl crystal.

Summary:
As for the density of states at the Fermi level: 6.74 states/eV per cell. The space group is P4/mbm. The value obtained for the mass density is 4.78 g/cm³. The energy relative to the lowest polymorph listed for this composition is 0 meV per atom.

abc: 8.887 8.887 4.622
angles: 90.00 90.00 90.00
Sites, in units of the cell vectors:
Ba1 0.314 0.814 0.000
Ba2 0.814 0.686 0.000
Ba3 0.686 0.186 0.000
Ba4 0.186 0.314 0.000
Ag1 0.110 0.610 0.500
Ag2 0.610 0.890 0.500
Ag3 0.890 0.390 0.500
Ag4 0.390 0.110 0.500
Cl1 0.000 0.000 0.000
Cl2 0.500 0.500 0.000